A relaxed TiCoBr2 crystal, computed with GGA-PBEsol.

The uncorrected energy is -4.83 eV per atom.

CIF file:
```
data_TiCoBr2
_chemical_formula_sum 'Ti4 Co4 Br8'
_cell_length_a 5.499
_cell_length_b 5.499
_cell_length_c 11.396
_cell_angle_alpha 90.00
_cell_angle_beta 90.00
_cell_angle_gamma 90.00
_space_group_name_H-M_alt 'I -4 2 d'
_space_group_IT_number 122
_space_group_name_Hall 'I -4 2bw'
loop_
_atom_site_label
_atom_site_fract_x
_atom_site_fract_y
_atom_site_fract_z
Ti1 0.000 0.000 0.000
Co1 0.000 0.000 0.500
Br1 0.219 0.250 0.625
```